Entry 1:
# KLiTlS2 (PBE, relaxed)
data_KLiTlS2
_cell_length_a 13.128
_cell_length_b 5.037
_cell_length_c 8.646
_cell_angle_alpha 90.00
_cell_angle_beta 100.44
_cell_angle_gamma 90.00
_space_group_name_H-M_alt 'C 1 2/m 1'
_space_group_IT_number 12
loop_
_space_group_symop_operation_xyz
'x,y,z'
'-x,-y,-z'
'-x,y,-z'
'x,-y,z'
'x+1/2,y+1/2,z'
'-x+1/2,-y+1/2,-z'
'-x+1/2,y+1/2,-z'
'x+1/2,-y+1/2,z'
loop_
_atom_site_label
_atom_site_fract_x
_atom_site_fract_y
_atom_site_fract_z
_atom_site_occupancy
K1 0.152 0.000 0.177 1
Li1 0.173 0.000 0.563 1
Tl1 0.059 0.500 0.721 1
S1 0.103 0.000 0.806 1
S2 0.141 0.500 0.438 1
# * mass density: 3.72 g/cm³
# * E_form (uncorrected): -813 meV/atom
# * Fermi-level density of states: 0.109 states/eV/atom
# * electronic total energy: -17.70 eV/f.u.

---

Entry 2:
# BaDyZnN2 (PBE, relaxed)
data_BaDyZnN2
_cell_length_a 6.052
_cell_length_b 5.451
_cell_length_c 6.724
_cell_angle_alpha 90.00
_cell_angle_beta 91.72
_cell_angle_gamma 90.00
_space_group_name_H-M_alt 'P 1 2/c 1'
_space_group_IT_number 13
loop_
_space_group_symop_operation_xyz
'x,y,z'
'-x,-y,-z'
'-x,y,-z+1/2'
'x,-y,z+1/2'
loop_
_atom_site_label
_atom_site_fract_x
_atom_site_fract_y
_atom_site_fract_z
_atom_site_occupancy
Ba1 0.000 0.099 0.250 1
Dy1 0.500 0.483 0.750 1
Zn1 0.500 0.000 0.000 1
N1 0.319 0.281 0.004 1
# * mass density: 5.89 g/cm³
# * E_form (uncorrected): -548 meV/atom
# * Fermi-level density of states: 0.515 states/eV/atom
# * electronic total energy: -27.19 eV/f.u.

---

Entry 3:
# ZrCd2Co (PBE, relaxed)
data_ZrCd2Co
_cell_length_a 3.411
_cell_length_b 3.502
_cell_length_c 6.783
_cell_angle_alpha 90.00
_cell_angle_beta 104.26
_cell_angle_gamma 90.00
_space_group_name_H-M_alt 'P 1 m 1'
_space_group_IT_number 6
loop_
_space_group_symop_operation_xyz
'x,y,z'
'x,-y,z'
loop_
_atom_site_label
_atom_site_fract_x
_atom_site_fract_y
_atom_site_fract_z
_atom_site_occupancy
Zr1 0.000 0.000 0.000 1
Cd1 0.279 0.000 0.568 1
Cd2 0.647 0.500 0.298 1
Co1 0.440 0.500 0.877 1
# * mass density: 7.93 g/cm³
# * Fermi-level density of states: 0.665 states/eV/atom
# * electronic total energy: -17.65 eV/f.u.
# * ΔE_f: -43 meV/atom

---

Entry 4:
# PrThHg (PBE, relaxed)
data_PrThHg
_cell_length_a 3.774
_cell_length_b 3.774
_cell_length_c 13.023
_cell_angle_alpha 90.00
_cell_angle_beta 90.00
_cell_angle_gamma 90.00
_space_group_name_H-M_alt 'I 4 m m'
_space_group_IT_number 107
_space_group_name_Hall 'I 4 -2'
loop_
_atom_site_label
_atom_site_fract_x
_atom_site_fract_y
_atom_site_fract_z
_atom_site_occupancy
Pr1 0.000 0.000 0.000 1
Th1 0.000 0.000 0.308 1
Hg1 0.000 0.000 0.653 1
# * mass density: 10.27 g/cm³
# * Fermi-level density of states: 0.831 states/eV/atom
# * electronic total energy: -13.04 eV/f.u.
# * ΔE_f: -181 meV/atom

---

Entry 5:
# LiPmPrIr (PBE, relaxed)
data_LiPmPrIr
_cell_length_a 7.200
_cell_length_b 7.200
_cell_length_c 7.200
_cell_angle_alpha 90.00
_cell_angle_beta 90.00
_cell_angle_gamma 90.00
_space_group_name_H-M_alt 'F -4 3 m'
_space_group_IT_number 216
_space_group_name_Hall 'F -4 2 3'
loop_
_atom_site_label
_atom_site_fract_x
_atom_site_fract_y
_atom_site_fract_z
_atom_site_occupancy
Li1 0.000 0.000 0.000 1
Pm1 0.250 0.250 0.750 1
Pr1 0.250 0.250 0.250 1
Ir1 0.000 0.000 0.500 1
# * mass density: 8.63 g/cm³
# * Fermi-level density of states: 0.895 states/eV/atom
# * electronic total energy: -21.88 eV/f.u.
# * ΔE_f: -395 meV/atom

---

Entry 6:
# YCo2H8 (PBE, relaxed)
data_YCo2H8
_cell_length_a 4.897
_cell_length_b 7.803
_cell_length_c 3.638
_cell_angle_alpha 90.00
_cell_angle_beta 91.01
_cell_angle_gamma 90.00
_space_group_name_H-M_alt 'C 1 2/m 1'
_space_group_IT_number 12
loop_
_space_group_symop_operation_xyz
'x,y,z'
'-x,-y,-z'
'-x,y,-z'
'x,-y,z'
'x+1/2,y+1/2,z'
'-x+1/2,-y+1/2,-z'
'-x+1/2,y+1/2,-z'
'x+1/2,-y+1/2,z'
loop_
_atom_site_label
_atom_site_fract_x
_atom_site_fract_y
_atom_site_fract_z
_atom_site_occupancy
Y1 0.000 0.000 0.000 1
Co1 0.000 0.325 0.500 1
H1 0.000 0.304 0.000 1
H2 0.014 0.500 0.743 1
H3 0.175 0.144 0.507 1
# * mass density: 5.13 g/cm³
# * Fermi-level density of states: 0.181 states/eV/atom
# * electronic total energy: -49.28 eV/f.u.

---

Entry 7:
# ZrTe2Mo (PBE, relaxed)
data_ZrTe2Mo
_cell_length_a 3.489
_cell_length_b 4.260
_cell_length_c 6.098
_cell_angle_alpha 90.00
_cell_angle_beta 97.60
_cell_angle_gamma 90.00
_space_group_name_H-M_alt 'P 1 2/m 1'
_space_group_IT_number 10
loop_
_space_group_symop_operation_xyz
'x,y,z'
'-x,-y,-z'
'-x,y,-z'
'x,-y,z'
loop_
_atom_site_label
_atom_site_fract_x
_atom_site_fract_y
_atom_site_fract_z
_atom_site_occupancy
Zr1 0.000 0.000 0.000 1
Te1 0.348 0.500 0.742 1
Mo1 0.500 0.000 0.500 1
# * mass density: 8.18 g/cm³
# * E_form (uncorrected): 181 meV/atom
# * Fermi-level density of states: 0.839 states/eV/atom
# * electronic total energy: -24.94 eV/f.u.

---

Entry 8:
# Tm2Th5C4 (PBE, relaxed)
data_Tm2Th5C4
_cell_length_a 18.211
_cell_length_b 3.591
_cell_length_c 8.975
_cell_angle_alpha 90.00
_cell_angle_beta 100.54
_cell_angle_gamma 90.00
_space_group_name_H-M_alt 'C 1 2/m 1'
_space_group_IT_number 12
loop_
_space_group_symop_operation_xyz
'x,y,z'
'-x,-y,-z'
'-x,y,-z'
'x,-y,z'
'x+1/2,y+1/2,z'
'-x+1/2,-y+1/2,-z'
'-x+1/2,y+1/2,-z'
'x+1/2,-y+1/2,z'
loop_
_atom_site_label
_atom_site_fract_x
_atom_site_fract_y
_atom_site_fract_z
_atom_site_occupancy
Tm1 0.043 0.000 0.361 1
Th1 0.000 0.000 0.000 1
Th2 0.124 0.500 0.689 1
Th3 0.203 0.500 0.335 1
C1 0.013 0.500 0.808 1
C2 0.170 0.000 0.509 1
# * mass density: 8.90 g/cm³
# * Fermi-level density of states: 0.751 states/eV/atom
# * electronic total energy: -82.76 eV/f.u.
# * ΔE_f: 16 meV/atom